(1)
A plane-wave DFT calculation with PBE-GGA was carried out for a relaxed structure of ThTiSi2Ni2.

Calculated values
* ΔE_f (raw): -79.3 kJ/mol of atoms
* symmetry: P-3m1 (164)
* calculated density: 7.69 Mg/m³

a b c (Å): 4.0462 4.0462 6.9051
angles (deg): 90.00 90.00 120.00
Atoms (fractional coordinates):
Ti 0.0000 0.0000 0.5000
Ni 0.6667 0.3333 0.6671
Th 0.0000 0.0000 0.0000
Si 0.3333 0.6667 0.7057
Ni 0.3333 0.6667 0.3329
Si 0.6667 0.3333 0.2943

(2)
A plane-wave DFT calculation with PBE-GGA was carried out for a relaxed structure of TmThSi2Ni2.

Calculated values
* ΔE_f (raw): -78.6 kJ/mol of atoms
* symmetry: P-3m1 (164)
* calculated density: 8.61 Mg/m³

a b c (Å): 4.0421 4.0421 7.8345
angles (deg): 90.00 90.00 120.00
Atoms (fractional coordinates):
Ni 0.3333 0.6667 0.7364
Si 0.6667 0.3333 0.7390
Tm 0.0000 0.0000 0.5000
Ni 0.6667 0.3333 0.2636
Th 0.0000 0.0000 0.0000
Si 0.3333 0.6667 0.2610

(3)
A plane-wave DFT calculation with PBE-GGA was carried out for a relaxed structure of TmTh2Si3Ni12.

Calculated values
* ΔE_f (raw): -5.2 kJ/mol of atoms
* symmetry: R-3m (166)
* calculated density: 7.88 Mg/m³

a b c (Å): 7.6067 7.6067 7.6067
angles (deg): 58.37 58.37 58.37
Atoms (fractional coordinates):
Th 0.3993 0.3993 0.3993
Ni 0.3553 0.3553 0.8816
Tm 0.0000 0.0000 0.0000
Si 0.0000 0.0000 0.5000
Ni 0.8816 0.3553 0.3553
Ni 0.4682 0.8372 0.8372
Ni 0.1184 0.6447 0.6447
Ni 0.3553 0.8816 0.3553
Ni 0.5318 0.1628 0.1628
Ni 0.8372 0.8372 0.4682
Ni 0.6447 0.1184 0.6447
Ni 0.8372 0.4682 0.8372
Ni 0.6447 0.6447 0.1184
Si 0.0000 0.5000 0.0000
Ni 0.1628 0.1628 0.5318
Th 0.6007 0.6007 0.6007
Si 0.5000 0.0000 0.0000
Ni 0.1628 0.5318 0.1628